Computed, not measured: crystalline SrInBr at its relaxed geometry at the PBE level of DFT.

Output
The density of states at the Fermi level comes out at 0.23 states/eV per atom. The offset from the most stable computed form comes out at 0.0 kJ/mol of formula units.

CIF file:
```
data_SrInBr
_space_group_name_H-M_alt 'R -3 m'
_space_group_IT_number 166
_space_group_name_Hall '-R 3 2"'
_cell_length_a 4.7949
_cell_length_b 4.7949
_cell_length_c 32.4661
_cell_angle_alpha 90.00
_cell_angle_beta 90.00
_cell_angle_gamma 120.00
loop_
_atom_site_label
_atom_site_fract_x
_atom_site_fract_y
_atom_site_fract_z
Sr1 0.0000 0.0000 0.0775
In1 0.0000 0.0000 0.3400
Br1 0.0000 0.0000 0.2114
```

Computed, not measured: crystalline SrInBr4 at its relaxed geometry at the PBE level of DFT.

Output
The density of states at the Fermi level comes out at 0.28 states/eV per atom. The offset from the most stable computed form comes out at 0.0 kJ/mol of formula units.

CIF file:
```
data_SrInBr4
_space_group_name_H-M_alt 'C 1 2/c 1'
_space_group_IT_number 15
_space_group_name_Hall '-C 2yc'
_cell_length_a 10.121
_cell_length_b 15.465
_cell_length_c 7.310
_cell_angle_alpha 90.00
_cell_angle_beta 132.92
_cell_angle_gamma 90.00
loop_
_atom_site_label
_atom_site_fract_x
_atom_site_fract_y
_atom_site_fract_z
Sr1 0.000 0.127 0.250
In1 0.000 0.390 0.750
Br1 0.168 0.289 0.638
Br2 0.212 0.036 0.776
```

Computed, not measured: crystalline SrInBr2 at its relaxed geometry at the PBE level of DFT.

Output
The density of states at the Fermi level comes out at 0.38 states/eV per atom. The offset from the most stable computed form comes out at 76.6 kJ/mol of formula units.

CIF file:
```
data_SrInBr2
_space_group_name_H-M_alt 'C 1 2/m 1'
_space_group_IT_number 12
_space_group_name_Hall '-C 2y'
_cell_length_a 7.614
_cell_length_b 8.948
_cell_length_c 5.733
_cell_angle_alpha 90.00
_cell_angle_beta 129.15
_cell_angle_gamma 90.00
loop_
_atom_site_label
_atom_site_fract_x
_atom_site_fract_y
_atom_site_fract_z
Sr1 0.000 0.000 0.000
In1 0.000 0.500 0.000
Br1 0.250 0.250 0.500
```

Computed, not measured: crystalline SrInBr2 at its relaxed geometry at the PBE level of DFT.

Output
The density of states at the Fermi level comes out at 0.49 states/eV per atom. The offset from the most stable computed form comes out at 75.3 kJ/mol of formula units.

CIF file:
```
data_SrInBr2
_space_group_name_H-M_alt 'F m -3 m'
_space_group_IT_number 225
_space_group_name_Hall '-F 4 2 3'
_cell_length_a 7.943
_cell_length_b 7.943
_cell_length_c 7.943
_cell_angle_alpha 90.00
_cell_angle_beta 90.00
_cell_angle_gamma 90.00
loop_
_atom_site_label
_atom_site_fract_x
_atom_site_fract_y
_atom_site_fract_z
Sr1 0.000 0.000 0.000
In1 0.000 0.000 0.500
Br1 0.250 0.250 0.250
```

Computed, not measured: crystalline Sr3InBr at its relaxed geometry at the PBE level of DFT.

Output
The density of states at the Fermi level comes out at 0.15 states/eV per atom. The offset from the most stable computed form comes out at 0.0 kJ/mol of formula units.

CIF file:
```
data_Sr3InBr
_space_group_name_H-M_alt 'P m -3 m'
_space_group_IT_number 221
_space_group_name_Hall '-P 4 2 3'
_cell_length_a 5.883
_cell_length_b 5.883
_cell_length_c 5.883
_cell_angle_alpha 90.00
_cell_angle_beta 90.00
_cell_angle_gamma 90.00
loop_
_atom_site_label
_atom_site_fract_x
_atom_site_fract_y
_atom_site_fract_z
Sr1 0.000 0.000 0.500
In1 0.500 0.500 0.500
Br1 0.000 0.000 0.000
```

Computed, not measured: crystalline SrInBr at its relaxed geometry at the PBE level of DFT.

Output
The density of states at the Fermi level comes out at 1.28 states/eV per atom. The offset from the most stable computed form comes out at 213.5 kJ/mol of formula units.

CIF file:
```
data_SrInBr
_space_group_name_H-M_alt 'F -4 3 m'
_space_group_IT_number 216
_space_group_name_Hall 'F -4 2 3'
_cell_length_a 7.850
_cell_length_b 7.850
_cell_length_c 7.850
_cell_angle_alpha 90.00
_cell_angle_beta 90.00
_cell_angle_gamma 90.00
loop_
_atom_site_label
_atom_site_fract_x
_atom_site_fract_y
_atom_site_fract_z
Sr1 0.000 0.000 0.000
In1 0.250 0.250 0.750
Br1 0.250 0.250 0.250
```

Computed, not measured: crystalline Sr3InBr7 at its relaxed geometry at the PBE level of DFT.

Output
The density of states at the Fermi level comes out at 0.00 states/eV per atom.

CIF file:
```
data_Sr3InBr7
_space_group_name_H-M_alt 'C 1 2/m 1'
_space_group_IT_number 12
_space_group_name_Hall '-C 2y'
_cell_length_a 10.043
_cell_length_b 11.226
_cell_length_c 7.980
_cell_angle_alpha 90.00
_cell_angle_beta 114.30
_cell_angle_gamma 90.00
loop_
_atom_site_label
_atom_site_fract_x
_atom_site_fract_y
_atom_site_fract_z
Sr1 0.000 0.000 0.000
Sr2 0.000 0.229 0.500
In1 0.000 0.500 0.000
Br1 0.000 0.500 0.500
Br2 0.149 0.000 0.739
Br3 0.160 0.215 0.238
```

Computed, not measured: crystalline SrIn2Br2 at its relaxed geometry at the PBE level of DFT.

Output
The density of states at the Fermi level comes out at 0.19 states/eV per atom. The offset from the most stable computed form comes out at 0.0 kJ/mol of formula units.

CIF file:
```
data_SrIn2Br2
_space_group_name_H-M_alt 'P 4/m b m'
_space_group_IT_number 127
_space_group_name_Hall '-P 4 2ab'
_cell_length_a 8.498
_cell_length_b 8.498
_cell_length_c 5.045
_cell_angle_alpha 90.00
_cell_angle_beta 90.00
_cell_angle_gamma 90.00
loop_
_atom_site_label
_atom_site_fract_x
_atom_site_fract_y
_atom_site_fract_z
Sr1 0.000 0.000 0.000
In1 0.124 0.376 0.000
Br1 0.224 0.724 0.500
```

Computed, not measured: crystalline Sr2InBr2 at its relaxed geometry at the PBE level of DFT.

Output
The density of states at the Fermi level comes out at 1.04 states/eV per atom. The offset from the most stable computed form comes out at 4.8 kJ/mol of formula units.

CIF file:
```
data_Sr2InBr2
_space_group_name_H-M_alt 'I 4/m m m'
_space_group_IT_number 139
_space_group_name_Hall '-I 4 2'
_cell_length_a 6.101
_cell_length_b 6.101
_cell_length_c 9.714
_cell_angle_alpha 90.00
_cell_angle_beta 90.00
_cell_angle_gamma 90.00
loop_
_atom_site_label
_atom_site_fract_x
_atom_site_fract_y
_atom_site_fract_z
Sr1 0.000 0.500 0.250
In1 0.000 0.000 0.000
Br1 0.000 0.000 0.324
```

Computed, not measured: crystalline SrInBr at its relaxed geometry at the PBE level of DFT.

Output
The density of states at the Fermi level comes out at 0.37 states/eV per atom. The offset from the most stable computed form comes out at 107.5 kJ/mol of formula units.

CIF file:
```
data_SrInBr
_space_group_name_H-M_alt 'I 4 m m'
_space_group_IT_number 107
_space_group_name_Hall 'I 4 -2'
_cell_length_a 4.020
_cell_length_b 4.020
_cell_length_c 13.716
_cell_angle_alpha 90.00
_cell_angle_beta 90.00
_cell_angle_gamma 90.00
loop_
_atom_site_label
_atom_site_fract_x
_atom_site_fract_y
_atom_site_fract_z
Sr1 0.000 0.000 0.000
In1 0.000 0.000 0.650
Br1 0.000 0.000 0.392
```

Computed, not measured: crystalline SrInBr2 at its relaxed geometry at the PBE level of DFT.

Output
The density of states at the Fermi level comes out at 0.35 states/eV per atom. The offset from the most stable computed form comes out at 71.3 kJ/mol of formula units.

CIF file:
```
data_SrInBr2
_space_group_name_H-M_alt 'P m m m'
_space_group_IT_number 47
_space_group_name_Hall '-P 2 2'
_cell_length_a 4.376
_cell_length_b 4.688
_cell_length_c 6.268
_cell_angle_alpha 90.00
_cell_angle_beta 90.00
_cell_angle_gamma 90.00
loop_
_atom_site_label
_atom_site_fract_x
_atom_site_fract_y
_atom_site_fract_z
Sr1 0.000 0.000 0.000
In1 0.500 0.000 0.500
Br1 0.000 0.500 0.500
Br2 0.500 0.500 0.000
```

Computed, not measured: crystalline SrTlIn2Br at its relaxed geometry at the PBE level of DFT.

Output
The density of states at the Fermi level comes out at 0.80 states/eV per atom.

CIF file:
```
data_SrTlIn2Br
_space_group_name_H-M_alt 'P 4/m m m'
_space_group_IT_number 123
_space_group_name_Hall '-P 4 2'
_cell_length_a 5.710
_cell_length_b 5.710
_cell_length_c 6.641
_cell_angle_alpha 90.00
_cell_angle_beta 90.00
_cell_angle_gamma 90.00
loop_
_atom_site_label
_atom_site_fract_x
_atom_site_fract_y
_atom_site_fract_z
Sr1 0.000 0.000 0.000
Tl1 0.000 0.000 0.500
In1 0.000 0.500 0.500
Br1 0.500 0.500 0.000
```

Computed, not measured: crystalline SrTlIn2Br6 at its relaxed geometry at the PBE level of DFT.

Output
The density of states at the Fermi level comes out at 0.51 states/eV per atom.

CIF file:
```
data_SrTlIn2Br6
_space_group_name_H-M_alt 'R 3'
_space_group_IT_number 146
_space_group_name_Hall 'R 3'
_cell_length_a 7.8080
_cell_length_b 7.8080
_cell_length_c 22.1301
_cell_angle_alpha 90.00
_cell_angle_beta 90.00
_cell_angle_gamma 120.00
loop_
_atom_site_label
_atom_site_fract_x
_atom_site_fract_y
_atom_site_fract_z
Sr1 0.0000 0.0000 0.0000
Tl1 0.0000 0.0000 0.4873
In1 0.0000 0.0000 0.1926
In2 0.0000 0.0000 0.6838
Br1 0.0281 0.6673 0.2677
Br2 0.0567 0.3384 0.7569
```

Computed, not measured: crystalline SrTl2InBr5 at its relaxed geometry at the PBE level of DFT.

Output
The density of states at the Fermi level comes out at 0.00 states/eV per atom.

CIF file:
```
data_SrTl2InBr5
_space_group_name_H-M_alt 'C m c 21'
_space_group_IT_number 36
_space_group_name_Hall 'C 2c -2'
_cell_length_a 4.570
_cell_length_b 19.221
_cell_length_c 17.134
_cell_angle_alpha 90.00
_cell_angle_beta 90.00
_cell_angle_gamma 90.00
loop_
_atom_site_label
_atom_site_fract_x
_atom_site_fract_y
_atom_site_fract_z
Sr1 0.000 0.239 0.000
Tl1 0.000 0.348 0.223
Tl2 0.000 0.448 0.631
In1 0.000 0.060 0.408
Br1 0.000 0.036 0.741
Br2 0.000 0.081 0.998
Br3 0.000 0.241 0.383
Br4 0.000 0.269 0.623
Br5 0.000 0.398 0.029
```

Computed, not measured: crystalline SrTlInBr6 at its relaxed geometry at the PBE level of DFT.

Output
The density of states at the Fermi level comes out at 0.00 states/eV per atom.

CIF file:
```
data_SrTlInBr6
_space_group_name_H-M_alt 'P -3 1 c'
_space_group_IT_number 163
_space_group_name_Hall '-P 3 2c'
_cell_length_a 7.5828
_cell_length_b 7.5828
_cell_length_c 14.0509
_cell_angle_alpha 90.00
_cell_angle_beta 90.00
_cell_angle_gamma 120.00
loop_
_atom_site_label
_atom_site_fract_x
_atom_site_fract_y
_atom_site_fract_z
Sr1 0.3333 0.6667 0.2500
Tl1 0.0000 0.0000 0.0000
In1 0.3333 0.6667 0.7500
Br1 0.0344 0.3825 0.6358
```

Computed, not measured: crystalline Sr2TlInBr6 at its relaxed geometry at the PBE level of DFT.

Output
The density of states at the Fermi level comes out at 0.00 states/eV per atom.

CIF file:
```
data_Sr2TlInBr6
_space_group_name_H-M_alt 'R 3'
_space_group_IT_number 146
_space_group_name_Hall 'R 3'
_cell_length_a 8.1628
_cell_length_b 8.1628
_cell_length_c 20.9195
_cell_angle_alpha 90.00
_cell_angle_beta 90.00
_cell_angle_gamma 120.00
loop_
_atom_site_label
_atom_site_fract_x
_atom_site_fract_y
_atom_site_fract_z
Sr1 0.0000 0.0000 0.0000
Sr2 0.0000 0.0000 0.4992
Tl1 0.0000 0.0000 0.2908
In1 0.0000 0.0000 0.7928
Br1 0.0667 0.7144 0.0724
Br2 0.0692 0.3548 0.5714
```

Computed, not measured: crystalline SrTlIn2Br5 at its relaxed geometry at the PBE level of DFT.

Output
The density of states at the Fermi level comes out at 0.00 states/eV per atom.

CIF file:
```
data_SrTlIn2Br5
_space_group_name_H-M_alt 'C m c 21'
_space_group_IT_number 36
_space_group_name_Hall 'C 2c -2'
_cell_length_a 4.562
_cell_length_b 19.327
_cell_length_c 16.990
_cell_angle_alpha 90.00
_cell_angle_beta 90.00
_cell_angle_gamma 90.00
loop_
_atom_site_label
_atom_site_fract_x
_atom_site_fract_y
_atom_site_fract_z
Sr1 0.000 0.243 0.000
Tl1 0.000 0.060 0.404
In1 0.000 0.354 0.220
In2 0.000 0.441 0.626
Br1 0.000 0.035 0.735
Br2 0.000 0.086 0.997
Br3 0.000 0.236 0.382
Br4 0.000 0.267 0.623
Br5 0.000 0.401 0.031
```

Computed, not measured: crystalline Sr2TmInBr8 at its relaxed geometry at the PBE level of DFT.

Output
The density of states at the Fermi level comes out at 0.00 states/eV per atom.

CIF file:
```
data_Sr2TmInBr8
_space_group_name_H-M_alt 'P 1 2/m 1'
_space_group_IT_number 10
_space_group_name_Hall '-P 2y'
_cell_length_a 6.842
_cell_length_b 9.406
_cell_length_c 7.151
_cell_angle_alpha 90.00
_cell_angle_beta 90.04
_cell_angle_gamma 90.00
loop_
_atom_site_label
_atom_site_fract_x
_atom_site_fract_y
_atom_site_fract_z
Sr1 0.000 0.250 0.000
Tm1 0.500 0.000 0.500
In1 0.500 0.500 0.500
Br1 0.233 0.500 0.861
Br2 0.250 0.000 0.818
Br3 0.273 0.211 0.343
```

Computed, not measured: crystalline SrUInBr6 at its relaxed geometry at the PBE level of DFT.

CIF file:
```
data_SrUInBr6
_space_group_name_H-M_alt 'P -3 1 c'
_space_group_IT_number 163
_space_group_name_Hall '-P 3 2c'
_cell_length_a 7.8000
_cell_length_b 7.8000
_cell_length_c 13.9882
_cell_angle_alpha 90.00
_cell_angle_beta 90.00
_cell_angle_gamma 120.00
loop_
_atom_site_label
_atom_site_fract_x
_atom_site_fract_y
_atom_site_fract_z
Sr1 0.3333 0.6667 0.2500
U1 0.3333 0.6667 0.7500
In1 0.0000 0.0000 0.0000
Br1 0.0150 0.3688 0.6318
```

Computed, not measured: crystalline SrUIn2Br8 at its relaxed geometry at the PBE level of DFT.

Output
The density of states at the Fermi level comes out at 0.35 states/eV per atom.

CIF file:
```
data_SrUIn2Br8
_space_group_name_H-M_alt 'P -1'
_space_group_IT_number 2
_space_group_name_Hall '-P 1'
_cell_length_a 7.298
_cell_length_b 7.460
_cell_length_c 9.088
_cell_angle_alpha 90.04
_cell_angle_beta 90.05
_cell_angle_gamma 92.71
loop_
_atom_site_label
_atom_site_fract_x
_atom_site_fract_y
_atom_site_fract_z
Sr1 0.000 0.000 0.000
U1 0.000 0.000 0.500
In1 0.499 0.500 0.756
Br1 0.197 0.320 0.499
Br2 0.224 0.870 0.729
Br3 0.225 0.872 0.272
Br4 0.253 0.336 0.000
```

no.,ρ (g cm⁻³),uncorrected energy (eV per atom)
1,4.352,-3.2208
2,4.139,-3.2012
3,3.972,-3.0109
4,4.801,-3.0140
5,3.732,-2.3997
6,3.877,-2.4832
7,3.795,-3.5905
8,4.349,-2.6427
9,4.133,-2.9218
10,4.231,-2.8492
11,4.678,-3.0245
12,4.614,-2.3824
13,4.269,-3.0806
14,4.460,-3.1628
15,4.207,-3.1282
16,4.020,-3.4200
17,4.085,-3.1554
18,3.962,-3.7592
19,4.145,-4.2796
20,4.014,-3.9332